Arrangement P

! EuSc2Cd (GGA-PBE, optimized geometry); values from VASP
! - total magnetization (μB/cell) = 8.01
&SYSTEM
  ibrav = 0, nat = 4, ntyp = 3
/
ATOMIC_SPECIES
Eu 151.96 Eu.upf
Sc 44.96 Sc.upf
Cd 112.41 Cd.upf
CELL_PARAMETERS angstrom
-1.079 3.058 -0.765
-0.807 0.743 -3.146
-11.309 -2.009 0.663
ATOMIC_POSITIONS crystal
Eu 0.000 0.000 0.000
Sc 0.096 0.096 0.712
Sc 0.904 0.904 0.288
Cd 0.500 0.500 0.500

=====

Arrangement Q

! EuSc2Cd (GGA-PBE, optimized geometry); values from VASP
! - total magnetization (μB/cell) = 7.43
&SYSTEM
  ibrav = 0, nat = 4, ntyp = 3
/
ATOMIC_SPECIES
Eu 151.96 Eu.upf
Sc 44.96 Sc.upf
Cd 112.41 Cd.upf
CELL_PARAMETERS angstrom
4.720 0.000 0.000
0.000 4.702 0.000
0.000 0.000 4.702
ATOMIC_POSITIONS crystal
Eu 0.500 0.500 0.500
Sc 0.000 0.000 0.500
Sc 0.000 0.500 0.000
Cd 0.500 0.000 0.000

=====

Relative to the most stable structure, the computed energies are arrangement P 155; arrangement Q 0, all in meV/atom.

=====

Arrangement P

! Eu2ScCd (GGA-PBE, optimized geometry); values from VASP
! - total magnetization (μB/cell) = 14.27
&SYSTEM
  ibrav = 0, nat = 4, ntyp = 3
/
ATOMIC_SPECIES
Eu 151.96 Eu.upf
Sc 44.96 Sc.upf
Cd 112.41 Cd.upf
CELL_PARAMETERS angstrom
-0.142 3.829 1.173
-4.003 -0.096 -0.170
-0.258 -2.253 7.322
ATOMIC_POSITIONS crystal
Eu 0.000 0.000 0.757
Eu 0.000 0.000 0.243
Sc 0.500 0.500 0.500
Cd 0.500 0.500 0.000

=====

Arrangement Q

! Eu2ScCd (GGA-PBE, optimized geometry); values from VASP
! - total magnetization (μB/cell) = 14.49
&SYSTEM
  ibrav = 0, nat = 4, ntyp = 3
/
ATOMIC_SPECIES
Eu 151.96 Eu.upf
Sc 44.96 Sc.upf
Cd 112.41 Cd.upf
CELL_PARAMETERS angstrom
3.455 0.000 0.000
1.727 2.992 0.000
1.727 0.997 11.927
ATOMIC_POSITIONS crystal
Eu 0.089 0.089 0.733
Eu 0.911 0.911 0.267
Sc 0.000 0.000 0.000
Cd 0.500 0.500 0.500

=====

Arrangement R

! Eu2ScCd (GGA-PBE, optimized geometry); values from VASP
! - total magnetization (μB/cell) = 14.56
&SYSTEM
  ibrav = 0, nat = 4, ntyp = 3
/
ATOMIC_SPECIES
Eu 151.96 Eu.upf
Sc 44.96 Sc.upf
Cd 112.41 Cd.upf
CELL_PARAMETERS angstrom
5.575 0.000 0.000
2.788 4.828 0.000
2.788 1.609 4.552
ATOMIC_POSITIONS crystal
Eu 0.250 0.250 0.250
Eu 0.750 0.750 0.750
Sc 0.000 0.000 0.000
Cd 0.500 0.500 0.500

=====

Relative to the most stable structure, the computed energies are arrangement P 0; arrangement Q 239; arrangement R 65, all in meV/atom.

=====

Arrangement P

! SmEu2Cd (GGA-PBE, optimized geometry); values from VASP
! - total magnetization (μB/cell) = 15.24
&SYSTEM
  ibrav = 0, nat = 4, ntyp = 3
/
ATOMIC_SPECIES
Eu 151.96 Eu.upf
Sm 150.36 Sm.upf
Cd 112.41 Cd.upf
CELL_PARAMETERS angstrom
-1.397 0.310 -3.543
-0.883 -3.718 0.023
-8.414 2.020 3.494
ATOMIC_POSITIONS crystal
Eu 0.000 0.000 0.783
Eu 0.000 0.000 0.217
Sm 0.500 0.500 0.500
Cd 0.500 0.500 0.000

=====

Arrangement Q

! SmEu2Cd (GGA-PBE, optimized geometry); values from VASP
! - total magnetization (μB/cell) = 15.46
&SYSTEM
  ibrav = 0, nat = 4, ntyp = 3
/
ATOMIC_SPECIES
Eu 151.96 Eu.upf
Sm 150.36 Sm.upf
Cd 112.41 Cd.upf
CELL_PARAMETERS angstrom
-3.532 0.620 -0.731
-1.437 -1.125 -3.172
-4.732 -11.358 4.062
ATOMIC_POSITIONS crystal
Eu 0.087 0.087 0.740
Eu 0.913 0.913 0.260
Sm 0.500 0.500 0.500
Cd 0.000 0.000 0.000

=====

Relative to the most stable structure, the computed energies are arrangement P 0; arrangement Q 268, all in meV/atom.

=====

Arrangement P

! SmEu2Cd (GGA-PBE, optimized geometry); values from VASP
! - total magnetization (μB/cell) = 14.89
&SYSTEM
  ibrav = 0, nat = 4, ntyp = 3
/
ATOMIC_SPECIES
Eu 151.96 Eu.upf
Sm 150.36 Sm.upf
Cd 112.41 Cd.upf
CELL_PARAMETERS angstrom
-2.812 4.972 -0.078
-5.166 0.397 2.405
-0.681 2.972 4.830
ATOMIC_POSITIONS crystal
Eu 0.250 0.250 0.250
Eu 0.750 0.750 0.750
Sm 0.000 0.000 0.000
Cd 0.500 0.500 0.500

=====

Arrangement Q

! SmEu2Cd (GGA-PBE, optimized geometry); values from VASP
! - total magnetization (μB/cell) = 15.21
&SYSTEM
  ibrav = 0, nat = 4, ntyp = 3
/
ATOMIC_SPECIES
Eu 151.96 Eu.upf
Sm 150.36 Sm.upf
Cd 112.41 Cd.upf
CELL_PARAMETERS angstrom
5.126 0.000 0.000
0.000 5.047 0.000
0.000 0.000 5.047
ATOMIC_POSITIONS crystal
Eu 0.000 0.000 0.500
Eu 0.000 0.500 0.000
Sm 0.500 0.500 0.500
Cd 0.500 0.000 0.000

=====

Relative to the most stable structure, the computed energies are arrangement P 69; arrangement Q 0, all in meV/atom.

=====

Arrangement P

! EuCd2Sn (GGA-PBE, optimized geometry); values from VASP
! - total magnetization (μB/cell) = 7.10
&SYSTEM
  ibrav = 0, nat = 4, ntyp = 3
/
ATOMIC_SPECIES
Eu 151.96 Eu.upf
Sn 118.71 Sn.upf
Cd 112.41 Cd.upf
CELL_PARAMETERS angstrom
5.314 0.000 0.000
2.657 4.602 0.000
2.657 1.534 4.339
ATOMIC_POSITIONS crystal
Eu 0.000 0.000 0.000
Sn 0.500 0.500 0.500
Cd 0.250 0.250 0.250
Cd 0.750 0.750 0.750

=====

Arrangement Q

! EuCd2Sn (GGA-PBE, optimized geometry); values from VASP
! - total magnetization (μB/cell) = 7.10
&SYSTEM
  ibrav = 0, nat = 4, ntyp = 3
/
ATOMIC_SPECIES
Eu 151.96 Eu.upf
Sn 118.71 Sn.upf
Cd 112.41 Cd.upf
CELL_PARAMETERS angstrom
-1.694 4.524 0.910
-1.571 -1.414 4.105
4.040 1.124 1.934
ATOMIC_POSITIONS crystal
Eu 0.500 0.500 0.500
Sn 0.500 0.000 0.000
Cd 0.000 0.000 0.500
Cd 0.000 0.500 0.000

=====

Relative to the most stable structure, the computed energies are arrangement P 60; arrangement Q 0, all in meV/atom.

=====

Arrangement P

! Sr2EuCd (GGA-PBE, optimized geometry); values from VASP
! - total magnetization (μB/cell) = 7.43
&SYSTEM
  ibrav = 0, nat = 4, ntyp = 3
/
ATOMIC_SPECIES
Eu 151.96 Eu.upf
Sr 87.62 Sr.upf
Cd 112.41 Cd.upf
CELL_PARAMETERS angstrom
-1.196 -3.843 -0.555
2.195 -2.493 -2.340
7.530 -5.912 9.835
ATOMIC_POSITIONS crystal
Eu 0.500 0.500 0.500
Sr 0.084 0.084 0.747
Sr 0.916 0.916 0.253
Cd 0.000 0.000 0.000

=====

Arrangement Q

! Sr2EuCd (GGA-PBE, optimized geometry); values from VASP
! - total magnetization (μB/cell) = 7.32
&SYSTEM
  ibrav = 0, nat = 4, ntyp = 3
/
ATOMIC_SPECIES
Eu 151.96 Eu.upf
Sr 87.62 Sr.upf
Cd 112.41 Cd.upf
CELL_PARAMETERS angstrom
6.072 0.000 0.000
3.036 5.258 0.000
3.036 1.753 4.958
ATOMIC_POSITIONS crystal
Eu 0.000 0.000 0.000
Sr 0.250 0.250 0.250
Sr 0.750 0.750 0.750
Cd 0.500 0.500 0.500

=====

Arrangement R

! Sr2EuCd (GGA-PBE, optimized geometry); values from VASP
! - total magnetization (μB/cell) = 7.96
&SYSTEM
  ibrav = 0, nat = 4, ntyp = 3
/
ATOMIC_SPECIES
Eu 151.96 Eu.upf
Sr 87.62 Sr.upf
Cd 112.41 Cd.upf
CELL_PARAMETERS angstrom
4.061 0.000 0.000
0.000 4.061 0.000
0.000 0.000 10.189
ATOMIC_POSITIONS crystal
Eu 0.500 0.500 0.500
Sr 0.000 0.000 0.804
Sr 0.000 0.000 0.196
Cd 0.500 0.500 0.000

=====

Relative to the most stable structure, the computed energies are arrangement P 312; arrangement Q 112; arrangement R 0, all in meV/atom.

=====

Arrangement P

! TbEu2Cd (GGA-PBE, optimized geometry); values from VASP
! - total magnetization (μB/cell) = 15.14
&SYSTEM
  ibrav = 0, nat = 4, ntyp = 3
/
ATOMIC_SPECIES
Eu 151.96 Eu.upf
Tb 158.93 Tb.upf
Cd 112.41 Cd.upf
CELL_PARAMETERS angstrom
-3.034 -3.757 1.568
3.673 -1.724 2.976
-1.669 2.912 3.748
ATOMIC_POSITIONS crystal
Eu 0.000 0.000 0.500
Eu 0.000 0.500 0.000
Tb 0.500 0.000 0.000
Cd 0.500 0.500 0.500

=====

Arrangement Q

! TbEu2Cd (GGA-PBE, optimized geometry); values from VASP
! - total magnetization (μB/cell) = 14.62
&SYSTEM
  ibrav = 0, nat = 4, ntyp = 3
/
ATOMIC_SPECIES
Eu 151.96 Eu.upf
Tb 158.93 Tb.upf
Cd 112.41 Cd.upf
CELL_PARAMETERS angstrom
5.687 0.000 0.000
2.843 4.925 0.000
2.843 1.642 4.643
ATOMIC_POSITIONS crystal
Eu 0.250 0.250 0.250
Eu 0.750 0.750 0.750
Tb 0.000 0.000 0.000
Cd 0.500 0.500 0.500

=====

Arrangement R

! TbEu2Cd (GGA-PBE, optimized geometry); values from VASP
! - total magnetization (μB/cell) = 15.40
&SYSTEM
  ibrav = 0, nat = 4, ntyp = 3
/
ATOMIC_SPECIES
Eu 151.96 Eu.upf
Tb 158.93 Tb.upf
Cd 112.41 Cd.upf
CELL_PARAMETERS angstrom
-1.739 -1.941 2.457
1.661 -0.966 3.022
-3.891 9.366 7.254
ATOMIC_POSITIONS crystal
Eu 0.094 0.094 0.719
Eu 0.906 0.906 0.281
Tb 0.000 0.000 0.000
Cd 0.500 0.500 0.500

=====

Arrangement S

! TbEu2Cd (GGA-PBE, optimized geometry); values from VASP
! - total magnetization (μB/cell) = 15.40
&SYSTEM
  ibrav = 0, nat = 4, ntyp = 3
/
ATOMIC_SPECIES
Eu 151.96 Eu.upf
Tb 158.93 Tb.upf
Cd 112.41 Cd.upf
CELL_PARAMETERS angstrom
3.805 0.000 0.000
0.000 3.805 0.000
0.000 0.000 9.279
ATOMIC_POSITIONS crystal
Eu 0.000 0.000 0.780
Eu 0.000 0.000 0.220
Tb 0.500 0.500 0.500
Cd 0.500 0.500 0.000

=====

Relative to the most stable structure, the computed energies are arrangement P 51; arrangement Q 107; arrangement R 228; arrangement S 0, all in meV/atom.

=====

Arrangement P

! TbEuCd (GGA-PBE, optimized geometry); values from VASP
! - total magnetization (μB/cell) = 7.59
&SYSTEM
  ibrav = 0, nat = 3, ntyp = 3
/
ATOMIC_SPECIES
Eu 151.96 Eu.upf
Tb 158.93 Tb.upf
Cd 112.41 Cd.upf
CELL_PARAMETERS angstrom
3.795 0.000 0.000
0.000 3.795 0.000
-1.898 -1.898 6.557
ATOMIC_POSITIONS crystal
Eu 0.015 0.015 0.031
Tb 0.309 0.309 0.617
Cd 0.676 0.676 0.352

=====

Arrangement Q

! TbEuCd (GGA-PBE, optimized geometry); values from VASP
! - total magnetization (μB/cell) = 7.18
&SYSTEM
  ibrav = 0, nat = 3, ntyp = 3
/
ATOMIC_SPECIES
Eu 151.96 Eu.upf
Tb 158.93 Tb.upf
Cd 112.41 Cd.upf
CELL_PARAMETERS angstrom
3.587 0.000 0.000
0.000 5.406 0.000
0.000 -2.703 4.681
ATOMIC_POSITIONS crystal
Eu 0.970 0.000 0.000
Tb 0.391 0.333 0.667
Cd 0.638 0.667 0.333

=====

Relative to the most stable structure, the computed energies are arrangement P 0; arrangement Q 110, all in meV/atom.

=====

Arrangement P

! EuThCd2 (GGA-PBE, optimized geometry); values from VASP
! - total magnetization (μB/cell) = 7.30
&SYSTEM
  ibrav = 0, nat = 4, ntyp = 3
/
ATOMIC_SPECIES
Eu 151.96 Eu.upf
Th 232.04 Th.upf
Cd 112.41 Cd.upf
CELL_PARAMETERS angstrom
-2.822 1.317 1.749
-2.889 -2.035 0.517
2.233 -3.746 10.070
ATOMIC_POSITIONS crystal
Eu 0.500 0.500 0.500
Th 0.000 0.000 0.000
Cd 0.750 0.750 0.749
Cd 0.250 0.250 0.251

=====

Arrangement Q

! EuThCd2 (GGA-PBE, optimized geometry); values from VASP
! - total magnetization (μB/cell) = 7.88
&SYSTEM
  ibrav = 0, nat = 4, ntyp = 3
/
ATOMIC_SPECIES
Eu 151.96 Eu.upf
Th 232.04 Th.upf
Cd 112.41 Cd.upf
CELL_PARAMETERS angstrom
5.477 0.000 0.000
2.738 4.743 0.000
2.738 1.581 4.472
ATOMIC_POSITIONS crystal
Eu 0.500 0.500 0.500
Th 0.000 0.000 0.000
Cd 0.250 0.250 0.250
Cd 0.750 0.750 0.750

=====

Relative to the most stable structure, the computed energies are arrangement P 102; arrangement Q 0, all in meV/atom.

=====

Arrangement P

! EuTm2Cd (GGA-PBE, optimized geometry); values from VASP
! - total magnetization (μB/cell) = 7.88
&SYSTEM
  ibrav = 0, nat = 4, ntyp = 3
/
ATOMIC_SPECIES
Eu 151.96 Eu.upf
Tm 168.93 Tm.upf
Cd 112.41 Cd.upf
CELL_PARAMETERS angstrom
-0.769 3.364 0.998
-3.141 -0.205 -1.731
-4.069 -3.234 7.768
ATOMIC_POSITIONS crystal
Eu 0.500 0.500 0.500
Tm 0.000 0.000 0.790
Tm 0.000 0.000 0.210
Cd 0.500 0.500 0.000

=====

Arrangement Q

! EuTm2Cd (GGA-PBE, optimized geometry); values from VASP
! - total magnetization (μB/cell) = 7.25
&SYSTEM
  ibrav = 0, nat = 4, ntyp = 3
/
ATOMIC_SPECIES
Eu 151.96 Eu.upf
Tm 168.93 Tm.upf
Cd 112.41 Cd.upf
CELL_PARAMETERS angstrom
-4.001 2.601 -0.878
-0.940 -2.772 -3.926
-2.606 -3.067 2.789
ATOMIC_POSITIONS crystal
Eu 0.500 0.500 0.500
Tm 0.000 0.000 0.500
Tm 0.000 0.500 0.000
Cd 0.500 0.000 0.000

=====

Relative to the most stable structure, the computed energies are arrangement P 0; arrangement Q 44, all in meV/atom.

=====

Arrangement P

! EuTm2Cd (GGA-PBE, optimized geometry); values from VASP
! - total magnetization (μB/cell) = 8.06
&SYSTEM
  ibrav = 0, nat = 4, ntyp = 3
/
ATOMIC_SPECIES
Eu 151.96 Eu.upf
Tm 168.93 Tm.upf
Cd 112.41 Cd.upf
CELL_PARAMETERS angstrom
3.501 0.000 0.000
1.751 3.032 0.000
1.751 1.011 11.804
ATOMIC_POSITIONS crystal
Eu 0.000 0.000 0.000
Tm 0.097 0.097 0.709
Tm 0.903 0.903 0.291
Cd 0.500 0.500 0.500

=====

Arrangement Q

! EuTm2Cd (GGA-PBE, optimized geometry); values from VASP
! - total magnetization (μB/cell) = 7.17
&SYSTEM
  ibrav = 0, nat = 4, ntyp = 3
/
ATOMIC_SPECIES
Eu 151.96 Eu.upf
Tm 168.93 Tm.upf
Cd 112.41 Cd.upf
CELL_PARAMETERS angstrom
-3.892 -1.097 3.665
1.360 -1.223 5.142
-1.044 3.545 4.016
ATOMIC_POSITIONS crystal
Eu 0.000 0.000 0.000
Tm 0.250 0.250 0.250
Tm 0.750 0.750 0.750
Cd 0.500 0.500 0.500

=====

Relative to the most stable structure, the computed energies are arrangement P 101; arrangement Q 0, all in meV/atom.

=====

Arrangement P

! Eu2YCd (GGA-PBE, optimized geometry); values from VASP
! - total magnetization (μB/cell) = 15.55
&SYSTEM
  ibrav = 0, nat = 4, ntyp = 3
/
ATOMIC_SPECIES
Eu 151.96 Eu.upf
Y 88.91 Y.upf
Cd 112.41 Cd.upf
CELL_PARAMETERS angstrom
3.818 0.000 0.000
0.000 3.818 0.000
0.000 0.000 9.272
ATOMIC_POSITIONS crystal
Eu 0.000 0.000 0.781
Eu 0.000 0.000 0.219
Y 0.500 0.500 0.500
Cd 0.500 0.500 0.000

=====

Arrangement Q

! Eu2YCd (GGA-PBE, optimized geometry); values from VASP
! - total magnetization (μB/cell) = 15.34
&SYSTEM
  ibrav = 0, nat = 4, ntyp = 3
/
ATOMIC_SPECIES
Eu 151.96 Eu.upf
Y 88.91 Y.upf
Cd 112.41 Cd.upf
CELL_PARAMETERS angstrom
3.589 0.000 0.000
1.795 3.108 0.000
1.795 1.036 12.283
ATOMIC_POSITIONS crystal
Eu 0.093 0.093 0.720
Eu 0.907 0.907 0.280
Y 0.000 0.000 0.000
Cd 0.500 0.500 0.500

=====

Arrangement R

! Eu2YCd (GGA-PBE, optimized geometry); values from VASP
! - total magnetization (μB/cell) = 15.18
&SYSTEM
  ibrav = 0, nat = 4, ntyp = 3
/
ATOMIC_SPECIES
Eu 151.96 Eu.upf
Y 88.91 Y.upf
Cd 112.41 Cd.upf
CELL_PARAMETERS angstrom
-1.114 3.516 3.563
-3.950 1.493 -2.708
-2.893 -3.333 2.384
ATOMIC_POSITIONS crystal
Eu 0.000 0.000 0.500
Eu 0.000 0.500 0.000
Y 0.500 0.000 0.000
Cd 0.500 0.500 0.500

=====

Arrangement S

! Eu2YCd (GGA-PBE, optimized geometry); values from VASP
! - total magnetization (μB/cell) = 14.63
&SYSTEM
  ibrav = 0, nat = 4, ntyp = 3
/
ATOMIC_SPECIES
Eu 151.96 Eu.upf
Y 88.91 Y.upf
Cd 112.41 Cd.upf
CELL_PARAMETERS angstrom
-2.523 1.497 4.883
-5.248 -1.871 1.184
-0.785 -3.872 4.104
ATOMIC_POSITIONS crystal
Eu 0.250 0.250 0.250
Eu 0.750 0.750 0.750
Y 0.500 0.500 0.500
Cd 0.000 0.000 0.000

=====

Relative to the most stable structure, the computed energies are arrangement P 0; arrangement Q 233; arrangement R 54; arrangement S 118, all in meV/atom.